[1]
## PmDy3Te3 (PBE)

Data for an optimized crystal structure of PmDy3Te3.

## Properties
Spin magnetization (μB per formula unit): 0.00
Crystal system: trigonal
Uncorrected formation energy (eV per atom): -1.04

Cell: 7.8904 7.8904 7.8904 Å, 70.22 70.22 70.22°
Last column: nearest neighbours and their distance in Å.
Fractional positions:
Pm  0.1894  0.1894  0.1894  6 Te 3.15-3.23
Pm  0.8106  0.8106  0.8106  6 Te 3.15-3.23
Dy  0.1670  0.6540  0.4225  5 Te 3.04-3.36
Dy  0.3460  0.5775  0.8330  5 Te 3.04-3.36
Dy  0.4225  0.1670  0.6540  5 Te 3.04-3.36
Dy  0.5775  0.8330  0.3460  5 Te 3.04-3.36
Dy  0.6540  0.4225  0.1670  5 Te 3.04-3.36
Dy  0.8330  0.3460  0.5775  5 Te 3.04-3.36
Te  0.0422  0.3964  0.8165  5 Dy 3.04-3.36, 2 Pm 3.15-3.23
Te  0.1835  0.9578  0.6036  5 Dy 3.04-3.36, 2 Pm 3.15-3.23
Te  0.3964  0.8165  0.0422  5 Dy 3.04-3.36, 2 Pm 3.15-3.23
Te  0.6036  0.1835  0.9578  5 Dy 3.04-3.36, 2 Pm 3.15-3.23
Te  0.8165  0.0422  0.3964  5 Dy 3.04-3.36, 2 Pm 3.15-3.23
Te  0.9578  0.6036  0.1835  5 Dy 3.04-3.36, 2 Pm 3.15-3.23



[2]
## Pm2Dy3Te6 (PBE)

Data for an optimized crystal structure of Pm2Dy3Te6.

## Properties
Spin magnetization (μB per formula unit): 0.00
Crystal system: monoclinic
Relative energy among the computed polymorphs (eV per formula unit): 0.00
Uncorrected formation energy (eV per atom): -1.42

Cell: 7.5696 7.5696 7.5846 Å, 99.69 99.69 119.73°
Last column: nearest neighbours and their distance in Å.
Fractional positions:
Pm  0.1639  0.8361  0.0000  6 Te 3.12-3.15
Pm  0.8361  0.1639  0.0000  6 Te 3.12-3.15
Dy  0.0000  0.0000  0.5000  6 Te 3.06-3.16
Dy  0.3292  0.6708  0.5000  6 Te 3.06-3.13
Dy  0.6708  0.3292  0.5000  6 Te 3.06-3.13
Te  0.0964  0.4177  0.7501  3 Dy 3.06-3.13, 2 Pm 3.15
Te  0.2634  0.2634  0.2534  3 Dy 3.08-3.16, 2 Pm 3.12
Te  0.4177  0.0964  0.7501  3 Dy 3.06-3.13, 2 Pm 3.15
Te  0.5823  0.9036  0.2499  3 Dy 3.06-3.13, 2 Pm 3.15
Te  0.7366  0.7366  0.7466  3 Dy 3.08-3.16, 2 Pm 3.12
Te  0.9036  0.5823  0.2499  3 Dy 3.06-3.13, 2 Pm 3.15



[3]
## PmDyTe2 (PBE)

Data for an optimized crystal structure of PmDyTe2.

## Properties
Spin magnetization (μB per formula unit): 0.00
Crystal system: trigonal
Relative energy among the computed polymorphs (eV per formula unit): 1.95
Uncorrected formation energy (eV per atom): -0.88

Cell: 10.0603 10.0603 10.0603 Å, 24.77 24.77 24.77°
Last column: nearest neighbours and their distance in Å.
Fractional positions:
Pm  0.0000  0.0000  0.0000  6 Te 3.13
Dy  0.5000  0.5000  0.5000  2 Te 2.99
Te  0.3979  0.3979  0.3979  1 Dy 2.99, 3 Pm 3.13
Te  0.6021  0.6021  0.6021  1 Dy 2.99, 3 Pm 3.13



[4]
## PmDyTe (PBE)

Data for an optimized crystal structure of PmDyTe.

## Properties
Spin magnetization (μB per formula unit): 0.00
Crystal system: monoclinic
Relative energy among the computed polymorphs (eV per formula unit): 0.00
Uncorrected formation energy (eV per atom): -0.84

Cell: 9.2135 6.2365 6.2378 Å, 90.00 109.70 90.00°
Last column: nearest neighbours and their distance in Å.
Fractional positions:
Pm  0.0000  0.2488  0.2492  4 Pm 3.12, 4 Te 3.31
Pm  0.0000  0.2512  0.7492  4 Pm 3.12, 4 Te 3.31
Pm  0.0000  0.7488  0.2508  4 Pm 3.12, 4 Te 3.31
Pm  0.0000  0.7512  0.7508  4 Pm 3.12, 4 Te 3.31
Dy  0.3599  0.0001  0.1793  5 Te 3.09-3.19
Dy  0.3599  0.4999  0.6793  5 Te 3.09-3.19
Dy  0.6401  0.9999  0.8207  5 Te 3.09-3.19
Dy  0.6401  0.5001  0.3207  5 Te 3.09-3.19
Te  0.2844  0.0000  0.6418  5 Dy 3.09-3.19, 4 Pm 3.31
Te  0.2844  0.5000  0.1418  5 Dy 3.09-3.19, 4 Pm 3.31
Te  0.7156  0.0000  0.3582  5 Dy 3.09-3.19, 4 Pm 3.31
Te  0.7156  0.5000  0.8582  5 Dy 3.09-3.19, 4 Pm 3.31



[5]
## Pm2Dy4Te9 (PBE)

Data for an optimized crystal structure of Pm2Dy4Te9.

## Properties
Spin magnetization (μB per formula unit): 0.00
Crystal system: monoclinic
Uncorrected formation energy (eV per atom): -1.37

Cell: 7.7630 7.7630 21.2165 Å, 90.00 90.00 59.99°
Last column: nearest neighbours and their distance in Å.
Fractional positions:
Pm  0.0003  0.9998  0.1549  6 Te 3.13-3.19
Pm  0.0002  0.9997  0.3451  6 Te 3.13-3.19
Pm  0.9998  0.0003  0.6549  6 Te 3.13-3.19
Pm  0.9997  0.0002  0.8451  6 Te 3.13-3.19
Dy  0.3334  0.3333  0.4908  6 Te 3.07-3.10
Dy  0.3333  0.3334  0.9908  6 Te 3.07-3.10
Dy  0.3330  0.3338  0.6768  6 Te 3.07-3.12
Dy  0.3338  0.3330  0.1768  6 Te 3.07-3.12
Dy  0.6662  0.6670  0.8232  6 Te 3.07-3.12
Dy  0.6670  0.6662  0.3232  6 Te 3.07-3.12
Dy  0.6667  0.6666  0.0092  6 Te 3.07-3.10
Dy  0.6666  0.6667  0.5092  6 Te 3.07-3.10
Te  0.9998  0.3179  0.7500  2 Dy 3.07, 2 Pm 3.19
Te  0.0002  0.6821  0.2500  2 Dy 3.07, 2 Pm 3.19
Te  0.0195  0.3424  0.0833  3 Dy 3.07-3.12, 1 Pm 3.13
Te  0.0192  0.6384  0.5833  3 Dy 3.07-3.11, 1 Pm 3.13
Te  0.3173  0.6827  0.7500  2 Dy 3.07, 2 Pm 3.19
Te  0.3179  0.9998  0.2500  2 Dy 3.07, 2 Pm 3.19
Te  0.3424  0.0195  0.5833  3 Dy 3.07-3.12, 1 Pm 3.13
Te  0.3428  0.6379  0.0834  3 Dy 3.07-3.11, 1 Pm 3.13
Te  0.3621  0.6572  0.4166  3 Dy 3.07-3.11, 1 Pm 3.13
Te  0.3616  0.9808  0.9167  3 Dy 3.07-3.11, 1 Pm 3.13
Te  0.6384  0.0192  0.0833  3 Dy 3.07-3.11, 1 Pm 3.13
Te  0.6379  0.3428  0.5834  3 Dy 3.07-3.11, 1 Pm 3.13
Te  0.6572  0.3621  0.9166  3 Dy 3.07-3.11, 1 Pm 3.13
Te  0.6576  0.9805  0.4167  3 Dy 3.07-3.12, 1 Pm 3.13
Te  0.6821  0.0002  0.7500  2 Dy 3.07, 2 Pm 3.19
Te  0.6827  0.3173  0.2500  2 Dy 3.07, 2 Pm 3.19
Te  0.9808  0.3616  0.4167  3 Dy 3.07-3.11, 1 Pm 3.13
Te  0.9805  0.6576  0.9167  3 Dy 3.07-3.12, 1 Pm 3.13



[6]
## Pm4DyTe7 (PBE)

Data for an optimized crystal structure of Pm4DyTe7.

## Properties
Spin magnetization (μB per formula unit): 0.00
Crystal system: monoclinic
Uncorrected formation energy (eV per atom): -1.42

Cell: 7.5965 7.5965 13.3833 Å, 103.85 103.85 33.05°
Last column: nearest neighbours and their distance in Å.
Fractional positions:
Pm  0.0000  0.0000  0.0000  6 Te 3.09-3.23
Pm  0.1853  0.1853  0.7645  7 Te 3.17-3.37
Pm  0.5858  0.5858  0.3846  7 Te 3.18-3.38
Pm  0.8852  0.8852  0.5728  6 Te 3.10-3.14
Dy  0.7705  0.7705  0.1507  6 Te 3.02-3.17
Te  0.1483  0.1483  0.2244  2 Dy 3.11, 3 Pm 3.23-3.33
Te  0.2233  0.2233  0.5259  5 Pm 3.14-3.37
Te  0.3828  0.3828  0.0772  2 Dy 3.02, 2 Pm 3.09
Te  0.5470  0.5470  0.6231  5 Pm 3.14-3.38
Te  0.6297  0.6297  0.9278  1 Dy 3.17, 4 Pm 3.18-3.31
Te  0.8485  0.8485  0.7909  4 Pm 3.10-3.17
Te  0.9214  0.9214  0.3542  1 Dy 3.04, 3 Pm 3.10-3.18